1.
Material: Cu2Pt
Method: DFT, meta-GGA SCAN
State: single point on PBEsol structure

Polymorph energy (0 for the lowest one): 4.4 kJ per mole of atoms
E: -33.65 eV per atom
Formation energy from the elements: -0.12 eV per atom

```
data_Cu2Pt
_cell_length_a 6.394
_cell_length_b 2.697
_cell_length_c 8.849
_cell_angle_alpha 90.00
_cell_angle_beta 92.71
_cell_angle_gamma 90.00
_space_group_name_H-M_alt 'P 1 2/m 1'
_space_group_IT_number 10
_space_group_name_Hall '-P 2y'
loop_
_atom_site_label
_atom_site_fract_x
_atom_site_fract_y
_atom_site_fract_z
Cu1 0.002 0.000 0.254
Cu2 0.323 0.500 0.827
Cu3 0.337 0.000 0.587
Cu4 0.342 0.500 0.347
Pt1 0.000 0.500 0.000
Pt2 0.000 0.500 0.500
Pt3 0.342 0.000 0.098
```

=====

2.
Material: GdCuW2O8
Method: DFT, meta-GGA SCAN
State: single point on PBEsol structure

E: -24.32 eV per atom
Energy relative to the elements, uncorrected: -2.382 eV per atom

```
data_GdCuW2O8
_cell_length_a 4.994
_cell_length_b 6.015
_cell_length_c 6.082
_cell_angle_alpha 109.26
_cell_angle_beta 92.01
_cell_angle_gamma 112.95
_space_group_name_H-M_alt 'P -1'
_space_group_IT_number 2
_space_group_name_Hall '-P 1'
loop_
_atom_site_label
_atom_site_fract_x
_atom_site_fract_y
_atom_site_fract_z
Gd1 0.000 0.000 0.000
Cu1 0.500 0.000 0.500
W1 0.245 0.480 0.668
O1 0.004 0.250 0.780
O2 0.030 0.692 0.667
O3 0.463 0.296 0.523
O4 0.494 0.269 0.072
```

=====

3.
Material: Ba2CdTc
Method: DFT, meta-GGA SCAN
State: single point on PBEsol structure

Polymorph energy (0 for the lowest one): 8.0 kJ per mole of atoms
E: -35.56 eV per atom
Formation energy from the elements: 0.59 eV per atom

```
data_Ba2CdTc
_cell_length_a 3.618
_cell_length_b 3.666
_cell_length_c 8.979
_cell_angle_alpha 90.00
_cell_angle_beta 90.00
_cell_angle_gamma 90.00
_space_group_name_H-M_alt 'P m m m'
_space_group_IT_number 47
_space_group_name_Hall '-P 2 2'
loop_
_atom_site_label
_atom_site_fract_x
_atom_site_fract_y
_atom_site_fract_z
Ba1 0.000 0.000 0.219
Cd1 0.500 0.500 0.500
Tc1 0.500 0.500 0.000
```

=====

4.
Material: NaPAu2
Method: DFT, meta-GGA SCAN
State: single point on PBEsol structure

E: -38.55 eV per atom
Formation energy from the elements: -0.32 eV per atom

```
data_NaPAu2
_cell_length_a 5.347
_cell_length_b 5.347
_cell_length_c 14.816
_cell_angle_alpha 90.00
_cell_angle_beta 90.00
_cell_angle_gamma 90.00
_space_group_name_H-M_alt 'I -4 2 d'
_space_group_IT_number 122
_space_group_name_Hall 'I -4 2bw'
loop_
_atom_site_label
_atom_site_fract_x
_atom_site_fract_y
_atom_site_fract_z
Na1 0.000 0.000 0.000
P1 0.000 0.000 0.500
Au1 0.079 0.250 0.625
```

=====

5.
Material: Cr3Tc
Method: DFT, meta-GGA SCAN
State: single point on PBEsol structure

E: -20.98 eV per atom
Formation energy from the elements: 1.57 eV per atom

```
data_Cr3Tc
_cell_length_a 4.633
_cell_length_b 4.633
_cell_length_c 4.633
_cell_angle_alpha 90.00
_cell_angle_beta 90.00
_cell_angle_gamma 90.00
_space_group_name_H-M_alt 'P m -3 m'
_space_group_IT_number 221
_space_group_name_Hall '-P 4 2 3'
loop_
_atom_site_label
_atom_site_fract_x
_atom_site_fract_y
_atom_site_fract_z
Cr1 0.000 0.000 0.500
Tc1 0.000 0.000 0.000
```

=====

6.
Material: RbBTeN2
Method: DFT, meta-GGA SCAN
State: single point on PBEsol structure

E: -14.00 eV per atom
Energy relative to the elements, uncorrected: 2.798 eV per atom

```
data_RbBTeN2
_cell_length_a 5.005
_cell_length_b 5.005
_cell_length_c 7.033
_cell_angle_alpha 90.00
_cell_angle_beta 90.00
_cell_angle_gamma 90.00
_space_group_name_H-M_alt 'P 4/m m m'
_space_group_IT_number 123
_space_group_name_Hall '-P 4 2'
loop_
_atom_site_label
_atom_site_fract_x
_atom_site_fract_y
_atom_site_fract_z
Rb1 0.000 0.000 0.000
B1 0.500 0.500 0.500
Te1 0.000 0.000 0.500
N1 0.000 0.500 0.000
```

=====

7.
Material: Ga3SeI
Method: DFT, meta-GGA SCAN
State: single point on PBEsol structure

E: -20.93 eV per atom
Energy relative to the elements, uncorrected: 0.238 eV per atom

```
data_Ga3SeI
_cell_length_a 5.354
_cell_length_b 5.354
_cell_length_c 5.354
_cell_angle_alpha 90.00
_cell_angle_beta 90.00
_cell_angle_gamma 90.00
_space_group_name_H-M_alt 'P m -3 m'
_space_group_IT_number 221
_space_group_name_Hall '-P 4 2 3'
loop_
_atom_site_label
_atom_site_fract_x
_atom_site_fract_y
_atom_site_fract_z
Ga1 0.000 0.000 0.500
Se1 0.000 0.000 0.000
I1 0.500 0.500 0.500
```

=====

8.
Material: Li2VP2O7
Method: DFT, meta-GGA SCAN
State: single point on PBEsol structure

Polymorph energy (0 for the lowest one): 1.3 kJ per mole of atoms
E: -9.75 eV per atom
Energy relative to the elements, uncorrected: -2.528 eV per atom

```
data_Li2VP2O7
_cell_length_a 5.138
_cell_length_b 6.600
_cell_length_c 8.606
_cell_angle_alpha 111.55
_cell_angle_beta 96.86
_cell_angle_gamma 104.16
_space_group_name_H-M_alt 'P -1'
_space_group_IT_number 2
_space_group_name_Hall '-P 1'
loop_
_atom_site_label
_atom_site_fract_x
_atom_site_fract_y
_atom_site_fract_z
Li1 0.171 0.224 0.064
Li2 0.321 0.698 0.716
V1 0.090 0.097 0.364
P1 0.236 0.642 0.365
P2 0.408 0.822 0.112
O1 0.045 0.793 0.405
O2 0.080 0.389 0.316
O3 0.181 0.942 0.120
O4 0.299 0.627 0.182
O5 0.318 0.013 0.770
O6 0.431 0.694 0.932
O7 0.497 0.728 0.503
```

=====

Copy entry 7 word for word.
Material: Ga3SeI
Method: DFT, meta-GGA SCAN
State: single point on PBEsol structure

E: -20.93 eV per atom
Energy relative to the elements, uncorrected: 0.238 eV per atom

```
data_Ga3SeI
_cell_length_a 5.354
_cell_length_b 5.354
_cell_length_c 5.354
_cell_angle_alpha 90.00
_cell_angle_beta 90.00
_cell_angle_gamma 90.00
_space_group_name_H-M_alt 'P m -3 m'
_space_group_IT_number 221
_space_group_name_Hall '-P 4 2 3'
loop_
_atom_site_label
_atom_site_fract_x
_atom_site_fract_y
_atom_site_fract_z
Ga1 0.000 0.000 0.500
Se1 0.000 0.000 0.000
I1 0.500 0.500 0.500
```